! CaCo2Tc2 GGA-PBE relaxed; values from VASP
! Excess energy over the best structure of this formula in the dataset (meV/atom): 8
! Density of states at the Fermi level (states/eV/f.u.): 7.0
! Total magnetization (Bohr magnetons per cell): 0.0
! Space-group type: I4/mmm, No. 139
! Calculated volume (Å³ per cell): 80.6
! Calculated total energy (eV per atom): -7.144
! Energy of formation (meV per atom): 245
&SYSTEM
  ibrav = 0, nat = 5, ntyp = 3
/
ATOMIC_SPECIES
Co 58.93 Co.upf
Tc 98.00 Tc.upf
Ca 40.08 Ca.upf
CELL_PARAMETERS angstrom
3.956 0.000 0.000
0.000 3.956 0.000
1.978 1.978 5.147
ATOMIC_POSITIONS crystal
Co 0.610 0.610 0.780
Co 0.390 0.390 0.220
Tc 0.250 0.750 0.500
Tc 0.750 0.250 0.500
Ca 0.000 0.000 0.000

! V2RhW GGA-PBE relaxed; values from VASP
! Density of states at the Fermi level (states/eV/f.u.): 4.1
! Total magnetization (Bohr magnetons per cell): 0.0
! Space-group type: P4/mmm, No. 123
! Calculated volume (Å³ per cell): 57.0
! Calculated total energy (eV per atom): -9.822
! Energy of formation (meV per atom): -186
&SYSTEM
  ibrav = 0, nat = 4, ntyp = 3
/
ATOMIC_SPECIES
V 50.94 V.upf
W 183.84 W.upf
Rh 102.91 Rh.upf
CELL_PARAMETERS angstrom
3.106 0.000 0.000
0.000 4.283 0.000
0.000 0.000 4.283
ATOMIC_POSITIONS crystal
V 0.000 0.000 0.500
V 0.000 0.500 0.000
W 0.500 0.000 0.000
Rh 0.500 0.500 0.500

! KAgPt2 GGA-PBE relaxed; values from VASP
! Density of states at the Fermi level (states/eV/f.u.): 1.9
! Total magnetization (Bohr magnetons per cell): 0.0
! Space-group type: P4/mmm, No. 123
! Calculated volume (Å³ per cell): 76.4
! Calculated total energy (eV per atom): -3.694
! Energy of formation (meV per atom): 314
&SYSTEM
  ibrav = 0, nat = 4, ntyp = 3
/
ATOMIC_SPECIES
Pt 195.08 Pt.upf
Ag 107.87 Ag.upf
K 39.10 K.upf
CELL_PARAMETERS angstrom
-1.803 3.448 2.435
-3.752 -1.279 -0.966
-0.047 -2.370 3.321
ATOMIC_POSITIONS crystal
Pt 0.000 0.000 0.000
Pt 0.000 0.500 0.500
Ag 0.500 0.500 0.000
K 0.500 0.000 0.500

! KRbZn4 GGA-PBE relaxed; values from VASP
! Density of states at the Fermi level (states/eV/f.u.): 1.6
! Total magnetization (Bohr magnetons per cell): 0.0
! Space-group type: F-43m, No. 216
! Calculated volume (Å³ per cell): 157.5
! Calculated total energy (eV per atom): -1.052
! Energy of formation (meV per atom): 141
&SYSTEM
  ibrav = 0, nat = 6, ntyp = 3
/
ATOMIC_SPECIES
Zn 65.41 Zn.upf
K 39.10 K.upf
Rb 85.47 Rb.upf
CELL_PARAMETERS angstrom
-0.326 -1.100 -5.952
-5.217 -1.868 -2.456
-3.157 3.716 -3.600
ATOMIC_POSITIONS crystal
Zn 0.622 0.622 0.622
Zn 0.135 0.622 0.622
Zn 0.622 0.135 0.622
Zn 0.622 0.622 0.135
K 0.250 0.250 0.250
Rb 0.000 0.000 0.000

calculated total energy of number 4 (KRbZn4)?
-1.052 eV per atom